! PBE YReTcN2, relaxed; values from VASP
&SYSTEM
  ibrav = 0, nat = 5, ntyp = 4
/
ATOMIC_SPECIES
Y 88.91 Y.upf
Re 186.21 Re.upf
Tc 98.00 Tc.upf
N 14.01 N.upf
CELL_PARAMETERS angstrom
3.9396 0.0000 0.0000
0.0000 3.9396 0.0000
0.0000 0.0000 5.8232
ATOMIC_POSITIONS crystal
Y 0.0000 0.0000 0.0000
Re 0.5000 0.5000 0.0000
Tc 0.0000 0.0000 0.5000
N 0.0000 0.5000 0.5000
N 0.5000 0.0000 0.5000
! Total moment (Bohr magnetons per cell): 3.04
! Formation energy from raw total energies (meV/atom): 1445
! Symmetry: P4/mmm

***

! PBE RbTaNi2, relaxed; values from VASP
&SYSTEM
  ibrav = 0, nat = 16, ntyp = 3
/
ATOMIC_SPECIES
Rb 85.47 Rb.upf
Ta 180.95 Ta.upf
Ni 58.69 Ni.upf
CELL_PARAMETERS angstrom
7.3070 0.0000 0.0000
0.0000 7.3070 0.0000
0.0000 0.0000 7.1119
ATOMIC_POSITIONS crystal
Rb 0.0000 0.0000 0.0000
Rb 0.0000 0.5000 0.2500
Rb 0.5000 0.0000 0.7500
Rb 0.5000 0.5000 0.5000
Ta 0.0000 0.0000 0.5000
Ta 0.0000 0.5000 0.7500
Ta 0.5000 0.0000 0.2500
Ta 0.5000 0.5000 0.0000
Ni 0.1715 0.2500 0.6250
Ni 0.2500 0.6715 0.8750
Ni 0.2500 0.8285 0.3750
Ni 0.3285 0.2500 0.1250
Ni 0.6715 0.7500 0.1250
Ni 0.7500 0.1715 0.3750
Ni 0.7500 0.3285 0.8750
Ni 0.8285 0.7500 0.6250
! Excess energy over the best structure of this formula in the dataset (meV per atom): 0.0
! Total moment (Bohr magnetons per cell): 0.00
! Symmetry: I-42d
! Calculated formation energy (eV per atom): 1.11

***

! PBE Ac2Tb5Er2, relaxed; values from VASP
&SYSTEM
  ibrav = 0, nat = 9, ntyp = 3
/
ATOMIC_SPECIES
Ac 227.00 Ac.upf
Tb 158.93 Tb.upf
Er 167.26 Er.upf
CELL_PARAMETERS angstrom
11.0327 -1.8042 0.0000
11.0327 1.8042 0.0000
-1.2366 0.0000 8.1723
ATOMIC_POSITIONS crystal
Ac 0.1792 0.1792 0.1349
Ac 0.8208 0.8208 0.8651
Tb 0.0000 0.0000 0.0000
Tb 0.0899 0.0899 0.7188
Tb 0.3100 0.3100 0.4657
Tb 0.6900 0.6900 0.5343
Tb 0.9101 0.9101 0.2812
Er 0.4525 0.4525 0.6471
Er 0.5475 0.5475 0.3529
! Total moment (Bohr magnetons per cell): 0.00
! Symmetry: C2/m
! Calculated formation energy (eV per atom): 0.21